ReAs (GGA-PBE, relaxed); M_tot = 0.00 μB per atom; total DFT energy (no corrections) = -66.9 eV/cell; offset from the most stable computed form = 0.1137 eV per atom; ΔE_f = 0.19 eV/atom
1.0
5.043 0.000 0.000
0.000 5.043 0.000
0.000 0.000 5.043
Re As
4 4
Cartesian
0.721 0.721 0.721
1.801 4.322 3.242
3.242 1.801 4.322
4.322 3.242 1.801
0.383 2.904 4.660
2.139 2.139 2.139
2.904 4.660 0.383
4.660 0.383 2.904